First-principles (GGA-PBE) data for an optimized crystal structure of RbCo3Te5, as listed in OQMD via LeMat-Bulk.

a b c (Å): 5.8692 5.8692 8.0077
angles (deg): 90.00 90.00 120.00
Last column: nearest neighbours and their distance in Å.
Atoms (fractional coordinates):
Rb 0.0000 0.0000 0.0000  14 Te 4.00-4.01
Co 0.0000 0.5000 0.5000  4 Te 2.51
Co 0.5000 0.0000 0.5000  4 Te 2.51
Co 0.5000 0.5000 0.5000  4 Te 2.51
Te 0.0000 0.0000 0.5000  6 Co 2.93
Te 0.3333 0.6667 0.2680  3 Co 2.51
Te 0.3333 0.6667 0.7320  3 Co 2.51
Te 0.6667 0.3333 0.2680  3 Co 2.51
Te 0.6667 0.3333 0.7320  3 Co 2.51

- VASP energy (eV/f.u.) = -39.6